1.
VASP calculation (PBE-GGA) on a relaxed structure of BaCuPbAu.

a b c (Å): 5.267 5.267 5.267
angles (deg): 60.00 60.00 60.00
Atoms (fractional coordinates):
Ba 0.000 0.000 0.000
Cu 0.250 0.250 0.250
Pb 0.750 0.750 0.750
Au 0.500 0.500 0.500

Theoretical density ... 9.72 Mg/m³
Energy ... -3.15 eV/atom
Excess energy over the best structure of this formula in the dataset ... 187 meV/atom


2.
VASP calculation (PBE-GGA) on a relaxed structure of BaCuPbAu.

a b c (Å): 5.329 5.329 5.329
angles (deg): 60.00 60.00 60.00
Atoms (fractional coordinates):
Ba 0.000 0.000 0.000
Cu 0.500 0.500 0.500
Pb 0.250 0.250 0.250
Au 0.750 0.750 0.750

Theoretical density ... 9.39 Mg/m³
Energy ... -3.14 eV/atom
Excess energy over the best structure of this formula in the dataset ... 196 meV/atom


3.
VASP calculation (PBE-GGA) on a relaxed structure of BaCuPbAu.

a b c (Å): 5.327 5.327 5.327
angles (deg): 60.00 60.00 60.00
Atoms (fractional coordinates):
Ba 0.000 0.000 0.000
Cu 0.750 0.750 0.750
Pb 0.500 0.500 0.500
Au 0.250 0.250 0.250

Theoretical density ... 9.40 Mg/m³
Energy ... -3.33 eV/atom
Excess energy over the best structure of this formula in the dataset ... 0 meV/atom


4.
VASP calculation (PBE-GGA) on a relaxed structure of BaCuAuS3.

a b c (Å): 6.762 6.762 9.995
angles (deg): 90.00 90.00 145.76
Atoms (fractional coordinates):
Ba 0.246 0.754 0.750
Ba 0.754 0.246 0.250
Cu 0.039 0.961 0.250
Cu 0.961 0.039 0.750
Au 0.500 0.500 0.000
Au 0.500 0.500 0.500
S 0.130 0.870 0.047
S 0.130 0.870 0.453
S 0.449 0.551 0.250
S 0.551 0.449 0.750
S 0.870 0.130 0.547
S 0.870 0.130 0.953

Theoretical density ... 6.38 Mg/m³
Energy ... -4.14 eV/atom


5.
VASP calculation (PBE-GGA) on a relaxed structure of Ba2CuSb2Au.

a b c (Å): 4.760 4.760 9.505
angles (deg): 90.00 90.00 120.00
Atoms (fractional coordinates):
Ba 0.000 0.000 0.000
Ba 0.000 0.000 0.497
Cu 0.667 0.333 0.251
Sb 0.333 0.667 0.247
Sb 0.667 0.333 0.746
Au 0.333 0.667 0.752

Theoretical density ... 6.93 Mg/m³
Energy ... -3.99 eV/atom


6.
VASP calculation (PBE-GGA) on a relaxed structure of BaCuSiAu.

a b c (Å): 5.084 5.084 5.084
angles (deg): 60.00 60.00 60.00
Atoms (fractional coordinates):
Ba 0.000 0.000 0.000
Cu 0.750 0.750 0.750
Si 0.500 0.500 0.500
Au 0.250 0.250 0.250

Theoretical density ... 7.61 Mg/m³
Energy ... -3.45 eV/atom
Excess energy over the best structure of this formula in the dataset ... 0 meV/atom


7.
VASP calculation (PBE-GGA) on a relaxed structure of BaCuSiAu.

a b c (Å): 5.012 5.012 5.012
angles (deg): 60.00 60.00 60.00
Atoms (fractional coordinates):
Ba 0.000 0.000 0.000
Cu 0.250 0.250 0.250
Si 0.750 0.750 0.750
Au 0.500 0.500 0.500

Theoretical density ... 7.95 Mg/m³
Energy ... -3.42 eV/atom
Excess energy over the best structure of this formula in the dataset ... 28 meV/atom


8.
VASP calculation (PBE-GGA) on a relaxed structure of BaDyAu.

a b c (Å): 5.182 5.182 5.182
angles (deg): 60.00 60.00 60.00
Atoms (fractional coordinates):
Ba 0.000 0.000 0.000
Dy 0.250 0.250 0.250
Au 0.750 0.750 0.750

Theoretical density ... 8.39 Mg/m³
Energy ... -2.83 eV/atom
Total magnetization ... 0.0 μB/f.u.


9.
VASP calculation (PBE-GGA) on a relaxed structure of BaDyAuO3.

a b c (Å): 7.068 7.068 8.716
angles (deg): 90.00 90.00 149.62
Atoms (fractional coordinates):
Ba 0.186 0.814 0.750
Ba 0.814 0.186 0.250
Dy 0.500 0.500 0.000
Dy 0.500 0.500 0.500
Au 0.112 0.888 0.250
Au 0.888 0.112 0.750
O 0.107 0.893 0.018
O 0.107 0.893 0.482
O 0.443 0.557 0.250
O 0.557 0.443 0.750
O 0.893 0.107 0.518
O 0.893 0.107 0.982

Theoretical density ... 8.22 Mg/m³
Energy ... -6.40 eV/atom
Total magnetization ... 0.0 μB/f.u.


10.
VASP calculation (PBE-GGA) on a relaxed structure of BaDyAuSe2S.

a b c (Å): 7.382 7.382 10.525
angles (deg): 90.00 90.00 146.79
Atoms (fractional coordinates):
Ba 0.242 0.758 0.750
Ba 0.758 0.242 0.250
Dy 0.500 0.500 0.000
Dy 0.500 0.500 0.500
Au 0.031 0.969 0.250
Au 0.969 0.031 0.750
Se 0.139 0.861 0.049
Se 0.139 0.861 0.451
Se 0.861 0.139 0.549
Se 0.861 0.139 0.951
S 0.426 0.574 0.250
S 0.574 0.426 0.750

Theoretical density ... 7.26 Mg/m³
Energy ... -5.02 eV/atom
Total magnetization ... 0.0 μB/f.u.


11.
VASP calculation (PBE-GGA) on a relaxed structure of BaDyTe2AuS.

a b c (Å): 7.798 7.798 10.772
angles (deg): 90.00 90.00 147.36
Atoms (fractional coordinates):
Ba 0.228 0.772 0.750
Ba 0.772 0.228 0.250
Dy 0.500 0.500 0.000
Dy 0.500 0.500 0.500
Te 0.143 0.857 0.054
Te 0.143 0.857 0.446
Te 0.857 0.143 0.554
Te 0.857 0.143 0.946
Au 0.023 0.977 0.250
Au 0.977 0.023 0.750
S 0.431 0.569 0.250
S 0.569 0.431 0.750

Theoretical density ... 7.37 Mg/m³
Energy ... -4.70 eV/atom
Total magnetization ... 0.0 μB/f.u.


12.
VASP calculation (PBE-GGA) on a relaxed structure of BaDyAuSe3.

a b c (Å): 9.488 9.488 8.692
angles (deg): 100.25 100.25 25.50
Atoms (fractional coordinates):
Ba 0.131 0.131 0.081
Ba 0.869 0.869 0.919
Dy 0.164 0.164 0.589
Dy 0.836 0.836 0.411
Au 0.458 0.458 0.287
Au 0.542 0.542 0.713
Se 0.000 0.000 0.500
Se 0.316 0.316 0.178
Se 0.323 0.323 0.628
Se 0.500 0.500 0.000
Se 0.677 0.677 0.372
Se 0.684 0.684 0.822

Theoretical density ... 7.35 Mg/m³
Energy ... -4.82 eV/atom
Total magnetization ... 0.0 μB/f.u.


13.
VASP calculation (PBE-GGA) on a relaxed structure of BaDyAuSe3.

a b c (Å): 8.246 4.201 10.083
angles (deg): 90.00 107.27 90.00
Atoms (fractional coordinates):
Ba 0.244 0.250 0.288
Ba 0.756 0.750 0.712
Dy 0.309 0.750 0.843
Dy 0.691 0.250 0.157
Au 0.091 0.250 0.603
Au 0.909 0.750 0.397
Se 0.071 0.250 0.857
Se 0.278 0.750 0.551
Se 0.443 0.750 0.140
Se 0.557 0.250 0.860
Se 0.722 0.250 0.449
Se 0.929 0.750 0.143

Theoretical density ... 7.31 Mg/m³
Energy ... -4.87 eV/atom
Total magnetization ... 0.0 μB/f.u.


14.
VASP calculation (PBE-GGA) on a relaxed structure of BaDyTe3Au.

a b c (Å): 13.333 4.570 12.550
angles (deg): 90.00 90.00 90.00
Atoms (fractional coordinates):
Ba 0.197 0.250 0.034
Ba 0.303 0.750 0.534
Ba 0.697 0.250 0.466
Ba 0.803 0.750 0.966
Dy 0.012 0.250 0.326
Dy 0.488 0.750 0.826
Dy 0.512 0.250 0.174
Dy 0.988 0.750 0.674
Te 0.022 0.750 0.151
Te 0.105 0.250 0.555
Te 0.203 0.750 0.812
Te 0.297 0.250 0.312
Te 0.395 0.750 0.055
Te 0.478 0.250 0.651
Te 0.522 0.750 0.349
Te 0.605 0.250 0.945
Te 0.703 0.750 0.688
Te 0.797 0.250 0.188
Te 0.895 0.750 0.445
Te 0.978 0.250 0.849
Au 0.192 0.750 0.273
Au 0.308 0.250 0.773
Au 0.692 0.750 0.227
Au 0.808 0.250 0.727

Theoretical density ... 7.64 Mg/m³
Energy ... -4.40 eV/atom
Total magnetization ... 0.0 μB/f.u.


15.
VASP calculation (PBE-GGA) on a relaxed structure of BaDyTe3Au.

a b c (Å): 8.647 4.420 10.789
angles (deg): 90.00 107.44 90.00
Atoms (fractional coordinates):
Ba 0.247 0.250 0.294
Ba 0.753 0.750 0.706
Dy 0.305 0.750 0.838
Dy 0.695 0.250 0.162
Te 0.063 0.250 0.856
Te 0.270 0.750 0.550
Te 0.438 0.750 0.139
Te 0.562 0.250 0.861
Te 0.730 0.250 0.450
Te 0.937 0.750 0.144
Au 0.090 0.250 0.606
Au 0.910 0.750 0.394

Theoretical density ... 7.43 Mg/m³
Energy ... -4.42 eV/atom
Total magnetization ... 0.0 μB/f.u.


16.
VASP calculation (PBE-GGA) on a relaxed structure of BaDyTe3Au.

a b c (Å): 10.229 4.559 16.789
angles (deg): 90.00 90.00 90.00
Atoms (fractional coordinates):
Ba 0.086 0.250 0.194
Ba 0.414 0.750 0.694
Ba 0.586 0.250 0.306
Ba 0.914 0.750 0.806
Dy 0.180 0.750 0.464
Dy 0.320 0.250 0.964
Dy 0.680 0.750 0.036
Dy 0.820 0.250 0.536
Te 0.009 0.250 0.395
Te 0.142 0.750 0.027
Te 0.182 0.250 0.799
Te 0.318 0.750 0.299
Te 0.358 0.250 0.527
Te 0.491 0.750 0.895
Te 0.509 0.250 0.105
Te 0.642 0.750 0.473
Te 0.682 0.250 0.701
Te 0.818 0.750 0.201
Te 0.858 0.250 0.973
Te 0.991 0.750 0.605
Au 0.158 0.250 0.634
Au 0.342 0.750 0.134
Au 0.658 0.250 0.866
Au 0.842 0.750 0.366

Theoretical density ... 7.46 Mg/m³
Energy ... -4.39 eV/atom
Total magnetization ... 0.0 μB/f.u.


17.
VASP calculation (PBE-GGA) on a relaxed structure of BaDyTe3Au.

a b c (Å): 11.569 4.468 15.017
angles (deg): 90.00 90.00 90.00
Atoms (fractional coordinates):
Ba 0.232 0.250 0.009
Ba 0.268 0.750 0.509
Ba 0.732 0.250 0.491
Ba 0.768 0.750 0.991
Dy 0.026 0.750 0.747
Dy 0.474 0.250 0.247
Dy 0.526 0.750 0.753
Dy 0.974 0.250 0.253
Te 0.040 0.750 0.117
Te 0.061 0.250 0.604
Te 0.228 0.250 0.329
Te 0.272 0.750 0.829
Te 0.439 0.750 0.104
Te 0.460 0.250 0.617
Te 0.540 0.750 0.383
Te 0.561 0.250 0.896
Te 0.728 0.250 0.171
Te 0.772 0.750 0.671
Te 0.939 0.750 0.396
Te 0.960 0.250 0.883
Au 0.247 0.250 0.716
Au 0.253 0.750 0.216
Au 0.747 0.250 0.784
Au 0.753 0.750 0.284

Theoretical density ... 7.53 Mg/m³
Energy ... -4.44 eV/atom
Total magnetization ... 0.0 μB/f.u.


18.
VASP calculation (PBE-GGA) on a relaxed structure of BaDyTe3Au.

a b c (Å): 15.075 4.479 11.711
angles (deg): 90.00 90.00 90.00
Atoms (fractional coordinates):
Ba 0.224 0.250 0.046
Ba 0.276 0.750 0.546
Ba 0.724 0.250 0.454
Ba 0.776 0.750 0.954
Dy 0.017 0.250 0.329
Dy 0.483 0.750 0.829
Dy 0.517 0.250 0.171
Dy 0.983 0.750 0.671
Te 0.102 0.250 0.569
Te 0.108 0.750 0.873
Te 0.149 0.750 0.257
Te 0.351 0.250 0.757
Te 0.392 0.250 0.373
Te 0.398 0.750 0.069
Te 0.602 0.250 0.931
Te 0.608 0.750 0.627
Te 0.649 0.750 0.243
Te 0.851 0.250 0.743
Te 0.892 0.250 0.127
Te 0.898 0.750 0.431
Au 0.009 0.750 0.096
Au 0.491 0.250 0.596
Au 0.509 0.750 0.404
Au 0.991 0.250 0.904

Theoretical density ... 7.39 Mg/m³
Energy ... -4.43 eV/atom
Total magnetization ... 0.0 μB/f.u.


19.
VASP calculation (PBE-GGA) on a relaxed structure of BaErAu.

a b c (Å): 5.134 5.134 5.134
angles (deg): 60.00 60.00 60.00
Atoms (fractional coordinates):
Ba 0.000 0.000 0.000
Er 0.750 0.750 0.750
Au 0.500 0.500 0.500

Theoretical density ... 8.70 Mg/m³
Energy ... -3.13 eV/atom
Total magnetization ... 0.0 μB/f.u.
Excess energy over the best structure of this formula in the dataset ... 0 meV/atom


20.
VASP calculation (PBE-GGA) on a relaxed structure of BaErAu.

a b c (Å): 5.212 5.212 5.212
angles (deg): 60.00 60.00 60.00
Atoms (fractional coordinates):
Ba 0.000 0.000 0.000
Er 0.250 0.250 0.250
Au 0.750 0.750 0.750

Theoretical density ... 8.32 Mg/m³
Energy ... -2.79 eV/atom
Total magnetization ... 0.0 μB/f.u.
Excess energy over the best structure of this formula in the dataset ... 333 meV/atom


21.
VASP calculation (PBE-GGA) on a relaxed structure of BaErTeAuS2.

a b c (Å): 7.772 7.772 11.006
angles (deg): 90.00 90.00 149.10
Atoms (fractional coordinates):
Ba 0.212 0.788 0.750
Ba 0.788 0.212 0.250
Er 0.000 0.000 0.000
Er 0.000 0.000 0.500
Te 0.102 0.898 0.250
Te 0.898 0.102 0.750
Au 0.478 0.522 0.250
Au 0.522 0.478 0.750
S 0.383 0.617 0.061
S 0.383 0.617 0.439
S 0.617 0.383 0.561
S 0.617 0.383 0.939

Theoretical density ... 6.74 Mg/m³
Energy ... -4.94 eV/atom
Total magnetization ... 0.0 μB/f.u.